Mg4Pa3NiN8 | PBE | optimized geometry

Computed properties:
Energy relative to the elements, uncorrected (eV per atom): -0.99
Space group: C2/m
Total energy (eV per formula unit): -123.163

a = 6.465 Å, b = 6.366 Å, c = 6.995 Å
α = 120.15°, β = 117.52°, γ = 90.00°
Each line ends with the local moment (μB).
Fractional coordinates of all 16 atoms:
Mg (0.500, 0.000, 0.000)  0.01
Mg (0.500, 0.000, 0.500)  0.00
Mg (0.000, 0.000, 0.000)  0.00
Mg (0.000, 0.000, 0.500)  0.00
Pa (0.500, 0.500, 0.000)  0.01
Pa (0.500, 0.500, 0.500)  -0.01
Pa (0.000, 0.500, 0.500)  -0.01
Ni (0.000, 0.500, 0.000)  0.82
N (0.221, 0.717, 0.950)  0.03
N (0.282, 0.782, 0.564)  0.01
N (0.266, 0.255, 0.532)  0.00
N (0.728, 0.717, 0.950)  0.03
N (0.272, 0.283, 0.050)  0.03
N (0.734, 0.745, 0.468)  0.00
N (0.718, 0.218, 0.436)  0.01
N (0.779, 0.283, 0.050)  0.03